(1)
Mn2Tl2Cl5: relaxed, GGA-PBE.

M_tot: 9.0 μB/cell
Mass density: 4.6 Mg/m³
ΔE_f (raw): -7.69 eV per formula unit
SG: C2/m
Uncorrected energy: -4.4439 eV/atom

a b c (Å): 6.7433 6.7433 7.8056
angles (deg): 92.12 92.12 45.05
Sites, in units of the cell vectors:
Mn 0.1817 0.1817 0.1369
Mn 0.8183 0.8183 0.8631
Tl 0.4009 0.4009 0.3474
Tl 0.5991 0.5991 0.6526
Cl 0.0000 0.0000 0.0000
Cl 0.1416 0.1416 0.4276
Cl 0.2877 0.2877 0.8777
Cl 0.7123 0.7123 0.1223
Cl 0.8584 0.8584 0.5724


(2)
TmMnTlCl6: relaxed, GGA-PBE.

M_tot: 1.9 μB/cell
Mass density: 4.1 Mg/m³
ΔE_f (raw): -12.30 eV per formula unit
SG: P-31c
Uncorrected energy: -4.3761 eV/atom

a b c (Å): 6.4253 6.4253 14.6325
angles (deg): 90.00 90.00 120.00
Sites, in units of the cell vectors:
Tm 0.3333 0.6667 0.2500
Tm 0.6667 0.3333 0.7500
Mn 0.3333 0.6667 0.7500
Mn 0.6667 0.3333 0.2500
Tl 0.0000 0.0000 0.0000
Tl 0.0000 0.0000 0.5000
Cl 0.0284 0.3798 0.6528
Cl 0.0284 0.6486 0.8472
Cl 0.3514 0.3798 0.8472
Cl 0.3514 0.9716 0.6528
Cl 0.3798 0.0284 0.1528
Cl 0.3798 0.3514 0.3472
Cl 0.6202 0.6486 0.6528
Cl 0.6202 0.9716 0.8472
Cl 0.6486 0.0284 0.3472
Cl 0.6486 0.6202 0.1528
Cl 0.9716 0.3514 0.1528
Cl 0.9716 0.6202 0.3472


(3)
Mn2TlVCl8: relaxed, GGA-PBE.

M_tot: 12.0 μB/cell
Mass density: 3.4 Mg/m³
ΔE_f (raw): -12.74 eV per formula unit
SG: P-1
Uncorrected energy: -4.7782 eV/atom

a b c (Å): 6.2721 6.2735 8.7635
angles (deg): 77.13 77.21 74.90
Sites, in units of the cell vectors:
Mn 0.0595 0.0600 0.2711
Mn 0.9405 0.9400 0.7289
Tl 0.5000 0.5000 0.5000
V 0.5000 0.5000 0.0000
Cl 0.1649 0.1677 0.4827
Cl 0.2415 0.6909 0.2043
Cl 0.2551 0.2571 0.0293
Cl 0.3105 0.7600 0.7950
Cl 0.6895 0.2400 0.2050
Cl 0.7449 0.7429 0.9707
Cl 0.7585 0.3091 0.7957
Cl 0.8351 0.8323 0.5173